{"formula": "Sr2MgSn2", "functional": "PBE", "state": "optimized geometry", "lattice_angstrom": [[-3.6917, 7.0697, 3.3934], [3.6917, -7.0697, 3.3934], [3.6917, 7.0697, -3.3934]], "species": ["Sr", "Sr", "Sr", "Sr", "Mg", "Mg", "Sn", "Sn", "Sn", "Sn"], "fractional_positions": [[0.1450, 0.1935, 0.3385], [0.3550, 0.6935, 0.0486], [0.6450, 0.3065, 0.9514], [0.8550, 0.8065, 0.6615], [0.2500, 0.7500, 0.5000], [0.7500, 0.2500, 0.5000], [0.1130, 0.7298, 0.8428], [0.3870, 0.2298, 0.6169], [0.6130, 0.7702, 0.3831], [0.8870, 0.2702, 0.1572]], "density_g_cm3": 4.10, "magnetic_moment_mub_per_cell": 0.00, "delta_e_f_ev_per_atom": -0.41}

{"formula": "LaDy2Ho5", "functional": "PBE", "state": "optimized geometry", "lattice_angstrom": [[7.1181, 0.0000, 0.0000], [0.0000, 20.0735, 0.0000], [0.0000, 0.0000, 7.1240]], "species": ["La", "La", "La", "La", "Dy", "Dy", "Dy", "Dy", "Dy", "Dy", "Dy", "Dy", "Ho", "Ho", "Ho", "Ho", "Ho", "Ho", "Ho", "Ho", "Ho", "Ho", "Ho", "Ho", "Ho", "Ho", "Ho", "Ho", "Ho", "Ho", "Ho", "Ho"], "fractional_positions": [[0.2503, 0.1251, 0.0000], [0.2497, 0.6251, 0.0000], [0.7503, 0.3749, 0.0000], [0.7497, 0.8749, 0.0000], [0.0000, 0.0000, 0.2527], [0.0000, 0.0000, 0.7473], [0.2494, 0.6252, 0.5000], [0.2506, 0.1252, 0.5000], [0.5000, 0.5000, 0.2527], [0.5000, 0.5000, 0.7473], [0.7494, 0.8748, 0.5000], [0.7506, 0.3748, 0.5000], [0.0000, 0.5000, 0.2528], [0.0000, 0.5000, 0.7472], [0.0006, 0.2500, 0.2528], [0.0006, 0.2500, 0.7472], [0.2504, 0.3749, 0.0000], [0.2504, 0.3749, 0.5000], [0.2496, 0.8749, 0.0000], [0.2496, 0.8749, 0.5000], [0.4994, 0.7500, 0.2528], [0.4994, 0.7500, 0.7472], [0.5000, 0.0000, 0.2528], [0.5000, 0.0000, 0.7472], [0.5006, 0.2500, 0.2528], [0.5006, 0.2500, 0.7472], [0.7504, 0.1251, 0.0000], [0.7504, 0.1251, 0.5000], [0.7496, 0.6251, 0.0000], [0.7496, 0.6251, 0.5000], [0.9994, 0.7500, 0.2528], [0.9994, 0.7500, 0.7472]], "polymorph_energy_mev_per_atom": 0.0, "density_g_cm3": 8.41, "magnetic_moment_mub_per_cell": 0.00, "delta_e_f_ev_per_atom": 0.02}

{"formula": "Pr2Nd5Tl5", "functional": "PBE", "state": "optimized geometry", "lattice_angstrom": [[6.0396, -2.6223, 0.0000], [6.0396, 2.6223, 0.0000], [-4.1747, 0.0000, 12.0984]], "species": ["Pr", "Pr", "Nd", "Nd", "Nd", "Nd", "Nd", "Tl", "Tl", "Tl", "Tl", "Tl"], "fractional_positions": [[0.0609, 0.0609, 0.2639], [0.9391, 0.9391, 0.7361], [0.3469, 0.3469, 0.4907], [0.3490, 0.3490, 0.2117], [0.5000, 0.5000, 0.0000], [0.6510, 0.6510, 0.7883], [0.6531, 0.6531, 0.5093], [0.0000, 0.0000, 0.5000], [0.1593, 0.1593, 0.9682], [0.2702, 0.2702, 0.7195], [0.7298, 0.7298, 0.2805], [0.8407, 0.8407, 0.0318]], "density_g_cm3": 8.77, "magnetic_moment_mub_per_cell": 0.00, "delta_e_f_ev_per_atom": -0.23}

{"formula": "CaNiI2N", "functional": "PBE", "state": "optimized geometry", "lattice_angstrom": [[6.0777, 0.0000, 0.0000], [0.0000, 6.0777, 0.0000], [0.0000, 0.0000, 4.6008]], "species": ["Ca", "Ni", "I", "I", "N"], "fractional_positions": [[0.0000, 0.0000, 0.0000], [0.5000, 0.5000, 0.5000], [0.0000, 0.5000, 0.0000], [0.5000, 0.0000, 0.0000], [0.0000, 0.0000, 0.5000]], "polymorph_energy_mev_per_atom": 784.3, "raw_formation_energy_ev_per_atom": 0.696, "density_g_cm3": 3.58, "magnetic_moment_mub_per_cell": 3.11}